8
Lattice="-2.284 2.284 8.650 2.284 -2.284 8.650 2.284 2.284 -8.650" Properties=species:S:1:pos:R:3 comment="SnRhCl2 (PBE, relaxed)" density_g_cm3=5.4 formation_energy_uncorrected_mev_per_atom=-6 final_energy_ev_per_cell=-30.15 n_ef_per_ev_atom=0.66 pbc="T T T"
Sn 0.000 0.000 0.000
Sn 0.000 2.284 4.325
Rh 2.284 0.000 4.325
Rh 0.000 0.000 8.650
Cl 1.142 -0.970 6.488
Cl 1.314 1.142 2.163
Cl 1.142 3.254 -2.163
Cl 0.970 1.142 10.813

***

6
Lattice="5.928 -1.637 0.000 5.928 1.637 0.000 -0.006 0.000 6.737" Properties=species:S:1:pos:R:3 comment="HoInN (PBE, relaxed)" density_g_cm3=7.5 formation_energy_uncorrected_mev_per_atom=-371 final_energy_ev_per_cell=-33.51 n_ef_per_ev_atom=0.31 pbc="T T T"
Ho 2.000 0.000 1.675
Ho 9.851 0.000 5.063
In 1.053 0.000 5.030
In 10.798 0.000 1.707
N 5.344 0.000 5.048
N 6.506 0.000 1.689

***

10
Lattice="2.075 -5.308 0.000 2.075 5.308 0.000 0.000 0.000 5.961" Properties=species:S:1:pos:R:3 comment="ThGeH2Ru (PBE, relaxed)" density_g_cm3=10.3 final_energy_ev_per_cell=-61.62 n_ef_per_ev_atom=0.45 pbc="T T T"
Th 2.075 3.110 4.471
Th 2.075 -3.110 1.490
Ge 2.075 4.481 1.490
Ge 2.075 -4.481 4.471
H 2.075 1.691 0.401
H 2.075 1.691 2.579
H 2.075 -1.691 3.382
H 2.075 -1.691 5.560
Ru 2.075 0.000 0.000
Ru 2.075 0.000 2.981

***

18
Lattice="8.206 -2.091 0.000 8.206 2.091 0.000 -3.072 0.000 9.401" Properties=species:S:1:pos:R:3 comment="CeAl3Rh2 (PBE, relaxed)" density_g_cm3=6.6 final_energy_ev_per_cell=-110.15 formation_energy_ev_per_atom=-0.808 n_ef_per_ev_atom=0.96 pbc="T T T"
Ce 0.000 0.000 0.000
Ce 0.515 0.000 6.642
Ce 12.825 0.000 2.759
Al -0.386 0.000 3.343
Al 2.283 0.000 3.704
Al 5.155 0.000 0.315
Al 3.678 0.000 7.457
Al 6.670 0.000 4.700
Al 9.662 0.000 1.943
Al 8.185 0.000 9.086
Al 11.058 0.000 5.697
Al 13.727 0.000 6.058
Rh 2.676 0.000 1.135
Rh 4.283 0.000 5.109
Rh 7.076 0.000 2.072
Rh 6.265 0.000 7.329
Rh 9.057 0.000 4.292
Rh 10.665 0.000 8.266